[1]
Crystalline Cd2GaHg3 at its relaxed geometry. Source: Alexandria, functional PBE.

Properties
The calculation puts the total energy at -5.46 eV/f.u. The value obtained for the magnetization is 0.0 μB/f.u. The value obtained for the polymorph energy (0 for the lowest one) is 0.0000 eV per atom. The value obtained for the formation energy is 50.9 meV/atom. Its space group is Immm, No. 71.

a b c (Å): 7.792 7.792 7.792
angles (deg): 152.93 134.86 53.43
Element x y z (fractional)
1 Cd 0.172 0.172 0.000
2 Cd 0.828 0.828 0.000
3 Ga 0.500 0.500 0.000
4 Hg 0.000 0.500 0.500
5 Hg 0.344 0.844 0.500
6 Hg 0.656 0.156 0.500

---

[2]
Crystalline La9MgTl2 at its relaxed geometry. Source: Alexandria, functional PBE.

Properties
The calculation puts the total energy at -52.68 eV/f.u. The value obtained for the magnetization is 0.0 μB/f.u. The value obtained for the formation energy is -167.4 meV/atom. Its space group is P4/mmm, No. 123.

a b c (Å): 5.094 5.094 15.245
angles (deg): 90.00 90.00 90.00
Element x y z (fractional)
1 La 0.000 0.000 0.000
2 La 0.000 0.000 0.333
3 La 0.000 0.000 0.667
4 La 0.000 0.500 0.168
5 La 0.000 0.500 0.500
6 La 0.000 0.500 0.832
7 La 0.500 0.000 0.168
8 La 0.500 0.000 0.500
9 La 0.500 0.000 0.832
10 Mg 0.500 0.500 0.000
11 Tl 0.500 0.500 0.334
12 Tl 0.500 0.500 0.666

---

[3]
Crystalline Fe2PdRu at its relaxed geometry. Source: Alexandria, functional PBE.

Properties
The calculation puts the total energy at -30.76 eV/f.u. The value obtained for the magnetization is 5.7 μB/f.u. The value obtained for the formation energy is 159.4 meV/atom. Its space group is P4/mmm, No. 123.

a b c (Å): 3.852 3.852 3.588
angles (deg): 90.00 90.00 90.00
Element x y z (fractional)
1 Fe 0.000 0.500 0.000
2 Fe 0.500 0.000 0.000
3 Pd 0.000 0.000 0.500
4 Ru 0.500 0.500 0.500

---

[4]
Crystalline Fe2CoCu at its relaxed geometry. Source: Alexandria, functional PBE.

Properties
The calculation puts the total energy at -27.73 eV/f.u. The value obtained for the magnetization is 6.6 μB/f.u. The value obtained for the polymorph energy (0 for the lowest one) is 0.0329 eV per atom. The value obtained for the formation energy is 99.9 meV/atom. Its space group is R-3m, No. 166.

a b c (Å): 8.503 8.503 8.503
angles (deg): 17.11 17.11 17.11
Element x y z (fractional)
1 Fe 0.248 0.248 0.248
2 Fe 0.752 0.752 0.752
3 Co 0.500 0.500 0.500
4 Cu 0.000 0.000 0.000

---

[5]
Crystalline Ba2UGaSe6 at its relaxed geometry. Source: Alexandria, functional PBE.

Properties
The uncorrected formation energy is -1.30 eV/atom. The calculation puts the total energy at -52.02 eV/f.u. The value obtained for the magnetization is 1.0 μB/f.u. Its space group is R-3, No. 148.

a b c (Å): 7.334 7.334 7.334
angles (deg): 61.95 61.95 61.95
Element x y z (fractional)
1 Ba 0.246 0.246 0.246
2 Ba 0.754 0.754 0.754
3 U 0.500 0.500 0.500
4 Ga 0.000 0.000 0.000
5 Se 0.181 0.754 0.308
6 Se 0.246 0.692 0.819
7 Se 0.308 0.181 0.754
8 Se 0.692 0.819 0.246
9 Se 0.754 0.308 0.181
10 Se 0.819 0.246 0.692

---

[6]
Crystalline LaZr2ZnN4 at its relaxed geometry. Source: Alexandria, functional PBE.

Properties
The uncorrected formation energy is -1.23 eV/atom. The calculation puts the total energy at -66.41 eV/f.u. The value obtained for the magnetization is 0.0 μB/f.u. Its space group is Cmcm, No. 63.

a b c (Å): 5.847 5.847 11.358
angles (deg): 90.00 90.00 146.63
Element x y z (fractional)
1 La 0.107 0.893 0.750
2 La 0.893 0.107 0.250
3 Zr 0.371 0.629 0.546
4 Zr 0.371 0.629 0.954
5 Zr 0.629 0.371 0.046
6 Zr 0.629 0.371 0.454
7 Zn 0.160 0.840 0.250
8 Zn 0.840 0.160 0.750
9 N 0.000 0.000 0.000
10 N 0.000 0.000 0.500
11 N 0.270 0.730 0.112
12 N 0.270 0.730 0.388
13 N 0.440 0.560 0.750
14 N 0.560 0.440 0.250
15 N 0.730 0.270 0.612
16 N 0.730 0.270 0.888